This record from the Alexandria database describes crystalline PrAl3Ga2 at its relaxed geometry. The functional is GGA-PBE.

The value obtained for the formation energy is -318 meV per atom.

The structure belongs to space group C2/m (No. 12); the cell edges are 15.871, 4.322 and 8.223 Å and the angles 90.00°, 120.99° and 90.00°. The inequivalent atoms are Pr at (0.153, 0.000, 0.237), Al at (0.040, 0.000, 0.717), Al at (0.087, 0.500, 0.496), Al at (0.195, 0.500, 0.932), Ga at (0.021, 0.500, 0.879) and Ga at (0.189, 0.000, 0.668).